(1)
MnTl2Ir SCAN PBEsol geometry; calculated volume = 72 Å³/f.u.; relative energy among the computed polymorphs = 230.2 meV per atom
1.0
-3.560 -1.787 -2.431
0.691 -3.679 -2.786
-1.758 -4.165 1.156
Ir Tl Mn
1 2 1
Cartesian
0.000 0.000 0.000
-3.470 -7.224 -3.046
-1.157 -2.408 -1.015
-2.314 -4.816 -2.031

***

(2)
Al2CuP SCAN PBEsol geometry; calculated volume = 59 Å³/f.u.; total energy = -10.368 eV per atom
1.0
-0.263 1.864 1.894
0.769 -2.030 2.104
6.988 1.809 -0.809
Cu Al P
1 2 1
Cartesian
3.747 0.822 1.595
1.950 0.505 -0.226
5.038 1.304 -0.583
0.384 -1.015 1.052

***

(3)
SnSbCl3 SCAN PBEsol geometry; calculated volume = 152 Å³/f.u.; raw formation energy = -0.243 eV per atom
1.0
-0.846 -4.711 -2.362
2.114 -2.495 4.218
-4.827 -0.267 2.262
Cl Sn Sb
3 1 1
Cartesian
-2.414 -0.134 1.131
-0.423 -2.355 -1.181
1.057 -1.248 2.109
0.000 0.000 0.000
-1.779 -3.736 2.059